KTeMo: PBEsol geometry, meta-GGA SCAN.

- E_form (uncorrected) (eV per atom) = 0.310
- spin magnetization (μB/cell) = 4.5
- V (Å³/cell) = 98

Unit cell a=4.6657 b=4.6657 c=5.2122 alpha=90.00 beta=90.00 gamma=120.00
With the nearest neighbours (Å) after each atom.
Fractional coordinates of all 3 atoms:
K 0.0000 0.0000 0.0000  6 Mo 3.75, 6 Te 3.75
Te 0.3333 0.6667 0.5000  3 Mo 2.69
Mo 0.6667 0.3333 0.5000  3 Te 2.69

***

KTl2Mo: PBEsol geometry, meta-GGA SCAN.

- spin magnetization (μB/cell) = 0.9
- raw total energy (eV per atom) = -46.4755
- V (Å³/cell) = 115

Unit cell a=8.4962 b=8.4962 c=4.7743 alpha=106.20 beta=106.20 gamma=20.33
With the nearest neighbours (Å) after each atom.
Fractional coordinates of all 4 atoms:
K 0.0000 0.0000 0.0000  2 K 3.00
Tl 0.6459 0.6459 0.6449  2 Mo 2.84, 2 Tl 3.00
Tl 0.8172 0.8172 0.3155  4 Mo 2.84, 2 Tl 3.00
Mo 0.2961 0.2961 0.7945  6 Tl 2.84, 2 Mo 3.00

***

KTl2Mo: PBEsol geometry, meta-GGA SCAN.

- spin magnetization (μB/cell) = 3.5
- raw total energy (eV per atom) = -46.3199
- V (Å³/cell) = 99

Unit cell a=5.1830 b=5.1830 c=5.1830 alpha=120.02 beta=119.88 gamma=90.09
With the nearest neighbours (Å) after each atom.
Fractional coordinates of all 4 atoms:
K 0.0000 0.0000 0.0000  8 Tl 3.17-3.18
Tl 0.2507 0.7507 0.5000  4 Mo 3.17-3.18, 4 K 3.17-3.18
Tl 0.7493 0.2493 0.5000  4 Mo 3.17-3.18, 4 K 3.17-3.18
Mo 0.5000 0.5000 0.0000  8 Tl 3.17-3.18

***

KMo4W: PBEsol geometry, meta-GGA SCAN.

- spin magnetization (μB/cell) = 0.0
- raw total energy (eV per atom) = -35.0672
- V (Å³/cell) = 105

Unit cell a=5.2884 b=5.2884 c=5.2884 alpha=60.00 beta=60.00 gamma=60.00
With the nearest neighbours (Å) after each atom.
Fractional coordinates of all 6 atoms:
K 0.0000 0.0000 0.0000  12 Mo 3.10, 4 W 3.24
Mo 0.1238 0.6254 0.6254  6 Mo 2.64-2.65
Mo 0.6254 0.1238 0.6254  6 Mo 2.64-2.65
Mo 0.6254 0.6254 0.1238  6 Mo 2.64-2.65
Mo 0.6254 0.6254 0.6254  6 Mo 2.64-2.65
W 0.2500 0.2500 0.2500  12 Mo 3.10, 4 K 3.24

***

KMoW2: PBEsol geometry, meta-GGA SCAN.

- spin magnetization (μB/cell) = 0.0
- raw total energy (eV per atom) = -44.6363
- V (Å³/cell) = 94

Unit cell a=3.0753 b=3.8189 c=7.9843 alpha=90.00 beta=90.00 gamma=90.00
With the nearest neighbours (Å) after each atom.
Fractional coordinates of all 4 atoms:
K 0.0000 0.0000 0.0000  2 K 3.08
Mo 0.5000 0.5000 0.3561  1 W 2.30
W 0.0000 0.0000 0.5012  4 W 2.70, 4 Mo 2.71
W 0.5000 0.5000 0.6442  1 Mo 2.30

***

KMoW2: PBEsol geometry, meta-GGA SCAN.

- spin magnetization (μB/cell) = 0.0
- raw total energy (eV per atom) = -43.9025
- V (Å³/cell) = 69

Unit cell a=4.6020 b=4.6020 c=4.6020 alpha=60.00 beta=60.00 gamma=60.00
With the nearest neighbours (Å) after each atom.
Fractional coordinates of all 4 atoms:
K 0.0000 0.0000 0.0000  4 W 2.82, 4 Mo 2.82
Mo 0.2500 0.2500 0.2500  4 W 2.82, 4 K 2.82
W 0.5000 0.5000 0.5000  4 Mo 2.82, 4 W 2.82
W 0.7500 0.7500 0.7500  4 W 2.82, 4 K 2.82

***

K2MoW: PBEsol geometry, meta-GGA SCAN.

- spin magnetization (μB/cell) = 0.0
- raw total energy (eV per atom) = -29.3556
- V (Å³/cell) = 118

Unit cell a=3.3001 b=3.3001 c=10.8808 alpha=90.00 beta=90.90 gamma=90.00
With the nearest neighbours (Å) after each atom.
Fractional coordinates of all 4 atoms:
K 0.0000 0.0000 0.0000  4 K 3.30, 4 W 3.62-3.63
K 0.4644 0.5000 0.3947  4 K 3.30, 4 Mo 3.62
Mo 0.9793 0.0000 0.6493  4 W 2.55-2.56
W 0.4852 0.5000 0.7453  4 Mo 2.55-2.56

***

K2MoW: PBEsol geometry, meta-GGA SCAN.

- spin magnetization (μB/cell) = 0.0
- raw total energy (eV per atom) = -28.6451
- V (Å³/cell) = 86

Unit cell a=3.7539 b=3.7539 c=6.0979 alpha=90.00 beta=90.00 gamma=90.00
With the nearest neighbours (Å) after each atom.
Fractional coordinates of all 4 atoms:
K 0.0000 0.5000 0.0000  4 K 2.65
K 0.5000 0.0000 0.0000  4 K 2.65
Mo 0.0000 0.0000 0.5000  4 W 2.65
W 0.5000 0.5000 0.5000  4 Mo 2.65

***

KMoW2: PBEsol geometry, meta-GGA SCAN.

- spin magnetization (μB/cell) = 0.0
- raw total energy (eV per atom) = -43.8106
- V (Å³/cell) = 71

Unit cell a=2.6580 b=5.0876 c=5.2287 alpha=90.00 beta=90.00 gamma=90.00
With the nearest neighbours (Å) after each atom.
Fractional coordinates of all 4 atoms:
K 0.0000 0.0000 0.0000  2 K 2.66, 4 Mo 2.87, 4 W 2.93
Mo 0.5000 0.5000 0.0000  2 Mo 2.66, 4 K 2.87, 4 W 2.93
W 0.0000 0.5000 0.5000  6 W 2.66-2.87, 4 Mo 2.93
W 0.5000 0.0000 0.5000  6 W 2.66-2.87, 4 K 2.93

***

KYMo: PBEsol geometry, meta-GGA SCAN.

- spin magnetization (μB/cell) = 0.0
- raw total energy (eV per atom) = -22.7075
- V (Å³/cell) = 81

Unit cell a=9.0081 b=9.0081 c=9.0081 alpha=160.52 beta=160.52 gamma=27.69
With the nearest neighbours (Å) after each atom.
Fractional coordinates of all 3 atoms:
K 0.0000 0.0000 0.0000  4 K 3.05
Y 0.2868 0.2868 0.0000  4 Mo 3.00, 4 Y 3.05
Mo 0.6676 0.6676 0.0000  4 Y 3.00, 4 Mo 3.05

***

KYMo: PBEsol geometry, meta-GGA SCAN.

- spin magnetization (μB/cell) = 0.0
- raw total energy (eV per atom) = -22.5652
- V (Å³/cell) = 87

Unit cell a=7.0881 b=7.0881 c=7.0881 alpha=155.79 beta=143.37 gamma=44.39
With the nearest neighbours (Å) after each atom.
Fractional coordinates of all 3 atoms:
K 0.0000 0.0000 0.0000  2 K 2.97
Y 0.7244 0.7244 0.0000  4 Mo 2.89, 2 Y 2.97
Mo 0.3063 0.3063 0.0000  4 Y 2.89, 2 Mo 2.97

***

KY2Mo: PBEsol geometry, meta-GGA SCAN.

- spin magnetization (μB/cell) = 0.0
- raw total energy (eV per atom) = -23.8650
- V (Å³/cell) = 112

Unit cell a=3.1138 b=3.1138 c=11.5911 alpha=90.00 beta=90.00 gamma=90.00
With the nearest neighbours (Å) after each atom.
Fractional coordinates of all 4 atoms:
K 0.0000 0.0000 0.0000  4 K 3.11
Y 0.0000 0.0000 0.4300  4 Mo 3.03, 4 Y 3.11
Y 0.5000 0.5000 0.6865  4 Y 3.11
Mo 0.5000 0.5000 0.2500  4 Y 3.03, 4 Mo 3.11

***

KY2Mo: PBEsol geometry, meta-GGA SCAN.

- spin magnetization (μB/cell) = 0.0
- raw total energy (eV per atom) = -23.8938
- V (Å³/cell) = 111

Unit cell a=3.1679 b=3.1679 c=11.6814 alpha=90.00 beta=90.00 gamma=109.31
With the nearest neighbours (Å) after each atom.
Fractional coordinates of all 4 atoms:
K 0.0000 0.0000 0.0000  4 K 3.17, 2 Mo 3.45
Y 0.0000 0.0000 0.5719  2 Mo 2.77
Y 0.5000 0.5000 0.3117  4 Y 3.17
Mo 0.5000 0.5000 0.7502  2 Y 2.77

***

K2ZnMo: PBEsol geometry, meta-GGA SCAN.

- spin magnetization (μB/cell) = 4.2
- raw total energy (eV per atom) = -15.0943
- V (Å³/cell) = 112

Unit cell a=6.1454 b=6.1454 c=3.5213 alpha=90.00 beta=90.00 gamma=122.66
With the nearest neighbours (Å) after each atom.
Fractional coordinates of all 4 atoms:
K 0.0000 0.5000 0.0000  2 K 2.95
K 0.5000 0.0000 0.0000  2 K 2.95
Zn 0.0000 0.0000 0.5000  2 Mo 2.95
Mo 0.5000 0.5000 0.5000  2 Zn 2.95

***

KZnMo2: PBEsol geometry, meta-GGA SCAN.

- spin magnetization (μB/cell) = 0.0
- raw total energy (eV per atom) = -22.3260
- V (Å³/cell) = 83

Unit cell a=3.1809 b=3.1809 c=8.2376 alpha=90.00 beta=90.00 gamma=90.00
With the nearest neighbours (Å) after each atom.
Fractional coordinates of all 4 atoms:
K 0.0000 0.0000 0.0000  4 K 3.18, 4 Zn 3.43
Zn 0.5000 0.5000 0.6861  5 Mo 2.71-2.76
Mo 0.0000 0.0000 0.5019  4 Mo 2.57, 4 Zn 2.71
Mo 0.5000 0.5000 0.3506  4 Mo 2.57, 1 Zn 2.76

***

K4ZnMo: PBEsol geometry, meta-GGA SCAN.

- spin magnetization (μB/cell) = 5.3
- raw total energy (eV per atom) = -12.5520
- V (Å³/cell) = 264

Unit cell a=7.2050 b=7.2050 c=7.2050 alpha=60.00 beta=60.00 gamma=60.00
With the nearest neighbours (Å) after each atom.
Fractional coordinates of all 6 atoms:
K 0.1254 0.1254 0.1254  6 K 3.59-3.61
K 0.1254 0.1254 0.6240  6 K 3.59-3.61
K 0.1254 0.6240 0.1254  6 K 3.59-3.61
K 0.6240 0.1254 0.1254  6 K 3.59-3.61
Zn 0.7500 0.7500 0.7500  12 K 4.23, 4 Mo 4.41
Mo 0.5000 0.5000 0.5000  12 K 4.22, 4 Zn 4.41

***

KZrMo4: PBEsol geometry, meta-GGA SCAN.

- spin magnetization (μB/cell) = 0.0
- raw total energy (eV per atom) = -28.8778
- V (Å³/cell) = 112

Unit cell a=5.4031 b=5.4031 c=5.4031 alpha=60.00 beta=60.00 gamma=60.00
With the nearest neighbours (Å) after each atom.
Fractional coordinates of all 6 atoms:
K 0.0000 0.0000 0.0000  12 Mo 3.17, 4 Zr 3.31
Zr 0.7500 0.7500 0.7500  12 Mo 3.17, 4 K 3.31
Mo 0.3743 0.3743 0.3743  6 Mo 2.69-2.72
Mo 0.3743 0.3743 0.8771  6 Mo 2.69-2.72
Mo 0.3743 0.8771 0.3743  6 Mo 2.69-2.72
Mo 0.8771 0.3743 0.3743  6 Mo 2.69-2.72

***

KNbN2: PBEsol geometry, meta-GGA SCAN.

- E_form (uncorrected) (eV per atom) = -0.944
- spin magnetization (μB/cell) = 0.0
- V (Å³/cell) = 1152

Unit cell a=5.8905 b=11.7852 c=16.5882 alpha=90.00 beta=90.00 gamma=90.00
With the nearest neighbours (Å) after each atom.
Fractional coordinates of all 64 atoms:
K 0.2212 0.2363 0.1838  4 N 2.88-3.02
K 0.2212 0.2637 0.6838  4 N 2.88-3.02
K 0.2353 0.0028 0.5591  5 N 2.72-3.04
K 0.2353 0.4972 0.0591  5 N 2.72-3.04
K 0.2647 0.5028 0.5591  5 N 2.72-3.04
K 0.2647 0.9972 0.0591  5 N 2.72-3.04
K 0.2788 0.7363 0.1838  4 N 2.88-3.02
K 0.2788 0.7637 0.6838  4 N 2.88-3.02
K 0.7212 0.2363 0.3162  4 N 2.88-3.02
K 0.7212 0.2637 0.8162  4 N 2.88-3.02
K 0.7353 0.0028 0.9409  5 N 2.72-3.04
K 0.7353 0.4972 0.4409  5 N 2.72-3.04
K 0.7647 0.5028 0.9409  5 N 2.72-3.04
K 0.7647 0.9972 0.4409  5 N 2.72-3.04
K 0.7788 0.7363 0.3162  4 N 2.88-3.02
K 0.7788 0.7637 0.8162  4 N 2.88-3.02
Nb 0.2324 0.0108 0.8101  4 N 1.94-1.95
Nb 0.2324 0.4892 0.3101  4 N 1.94-1.95
Nb 0.2376 0.2338 0.4347  4 N 1.94-1.95
Nb 0.2376 0.2662 0.9347  4 N 1.94-1.95
Nb 0.2624 0.7338 0.4347  4 N 1.94-1.95
Nb 0.2624 0.7662 0.9347  4 N 1.94-1.95
Nb 0.2676 0.5108 0.8101  4 N 1.94-1.95
Nb 0.2676 0.9892 0.3101  4 N 1.94-1.95
Nb 0.7324 0.0108 0.6899  4 N 1.94-1.95
Nb 0.7324 0.4892 0.1899  4 N 1.94-1.95
Nb 0.7376 0.2338 0.0653  4 N 1.94-1.95
Nb 0.7376 0.2662 0.5653  4 N 1.94-1.95
Nb 0.7624 0.7338 0.0653  4 N 1.94-1.95
Nb 0.7624 0.7662 0.5653  4 N 1.94-1.95
Nb 0.7676 0.5108 0.6899  4 N 1.94-1.95
Nb 0.7676 0.9892 0.1899  4 N 1.94-1.95
N 0.0417 0.6987 0.0077  2 Nb 1.95
N 0.0417 0.8013 0.5077  2 Nb 1.95
N 0.0515 0.5183 0.2143  2 Nb 1.94-1.95
N 0.0515 0.9817 0.7143  2 Nb 1.94-1.95
N 0.1377 0.5914 0.3962  2 Nb 1.94-1.95
N 0.1377 0.9086 0.8962  2 Nb 1.94-1.95
N 0.1813 0.1673 0.8428  2 Nb 1.95
N 0.1813 0.3327 0.3428  2 Nb 1.95
N 0.3187 0.6673 0.8428  2 Nb 1.95
N 0.3187 0.8327 0.3428  2 Nb 1.95
N 0.3623 0.0914 0.3962  2 Nb 1.94-1.95
N 0.3623 0.4086 0.8962  2 Nb 1.94-1.95
N 0.4485 0.0183 0.2143  2 Nb 1.94-1.95
N 0.4485 0.4817 0.7143  2 Nb 1.94-1.95
N 0.4583 0.1987 0.0077  2 Nb 1.95
N 0.4583 0.3013 0.5077  2 Nb 1.95
N 0.5417 0.6987 0.4923  2 Nb 1.95
N 0.5417 0.8013 0.9923  2 Nb 1.95
N 0.5515 0.5183 0.2857  2 Nb 1.94-1.95
N 0.5515 0.9817 0.7857  2 Nb 1.94-1.95
N 0.6377 0.5914 0.1038  2 Nb 1.94-1.95
N 0.6377 0.9086 0.6038  2 Nb 1.94-1.95
N 0.6813 0.1673 0.6572  2 Nb 1.95
N 0.6813 0.3327 0.1572  2 Nb 1.95
N 0.8187 0.6673 0.6572  2 Nb 1.95
N 0.8187 0.8327 0.1572  2 Nb 1.95
N 0.8623 0.0914 0.1038  2 Nb 1.94-1.95
N 0.8623 0.4086 0.6038  2 Nb 1.94-1.95
N 0.9485 0.0183 0.2857  2 Nb 1.94-1.95
N 0.9485 0.4817 0.7857  2 Nb 1.94-1.95
N 0.9583 0.1987 0.4923  2 Nb 1.95
N 0.9583 0.3013 0.9923  2 Nb 1.95

***

KNb2N: PBEsol geometry, meta-GGA SCAN.

- E_form (uncorrected) (eV per atom) = 0.411
- spin magnetization (μB/cell) = 0.0
- V (Å³/cell) = 195

Unit cell a=6.5106 b=6.5106 c=6.5106 alpha=60.00 beta=60.00 gamma=60.00
With the nearest neighbours (Å) after each atom.
Fractional coordinates of all 8 atoms:
K 0.1250 0.1250 0.1250  12 Nb 3.82, 4 K 3.99, 4 N 3.99
K 0.8750 0.8750 0.8750  12 Nb 3.82, 4 K 3.99, 4 N 3.99
Nb 0.0000 0.5000 0.5000  2 N 1.99
Nb 0.5000 0.0000 0.5000  2 N 1.99
Nb 0.5000 0.5000 0.0000  2 N 1.99
Nb 0.5000 0.5000 0.5000  2 N 1.99
N 0.3750 0.3750 0.3750  4 Nb 1.99
N 0.6250 0.6250 0.6250  4 Nb 1.99

***

KNbS2N: PBEsol geometry, meta-GGA SCAN.

- E_form (uncorrected) (eV per atom) = 1.859
- spin magnetization (μB/cell) = 0.3
- V (Å³/cell) = 102

Unit cell a=5.0452 b=5.0452 c=3.9895 alpha=90.00 beta=90.00 gamma=90.00
With the nearest neighbours (Å) after each atom.
Fractional coordinates of all 5 atoms:
K 0.0000 0.0000 0.0000  2 N 1.99
Nb 0.5000 0.5000 0.5000  8 S 3.22, 4 N 3.57
S 0.0000 0.5000 0.0000  2 K 2.52
S 0.5000 0.0000 0.0000  2 K 2.52
N 0.0000 0.0000 0.5000  2 K 1.99